Entry 1:
## TaReNi2 (PBE-GGA)

Data for crystalline TaReNi2 at its relaxed geometry.

CIF file:
```
data_TaReNi2
_symmetry_space_group_name_H-M 'I 4/m m m'
_symmetry_Int_Tables_number 139
_symmetry_space_group_name_Hall '-I 4 2'
_cell_length_a 3.7968
_cell_length_b 3.7968
_cell_length_c 7.5551
_cell_angle_alpha 90.00
_cell_angle_beta 90.00
_cell_angle_gamma 90.00
loop_
_atom_site_label
_atom_site_fract_x
_atom_site_fract_y
_atom_site_fract_z
Ta1 0.0000 0.0000 0.0000
Re1 0.0000 0.0000 0.5000
Ni1 0.0000 0.5000 0.2500
```

Properties
Calculated formation energy: -0.133 eV per atom
Mass density: 14.78 g/cm³


Entry 2:
## Ta2ReNi (PBE-GGA)

Data for crystalline Ta2ReNi at its relaxed geometry.

CIF file:
```
data_Ta2ReNi
_symmetry_space_group_name_H-M 'F -4 3 m'
_symmetry_Int_Tables_number 216
_symmetry_space_group_name_Hall 'F -4 2 3'
_cell_length_a 6.2909
_cell_length_b 6.2909
_cell_length_c 6.2909
_cell_angle_alpha 90.00
_cell_angle_beta 90.00
_cell_angle_gamma 90.00
loop_
_atom_site_label
_atom_site_fract_x
_atom_site_fract_y
_atom_site_fract_z
Ta1 0.0000 0.0000 0.0000
Ta2 0.2500 0.2500 0.2500
Re1 0.2500 0.2500 0.7500
Ni1 0.0000 0.0000 0.5000
```

Properties
Calculated formation energy: 0.051 eV per atom
Mass density: 16.19 g/cm³


Entry 3:
## Ta4ReNi (PBE-GGA)

Data for crystalline Ta4ReNi at its relaxed geometry.

CIF file:
```
data_Ta4ReNi
_symmetry_space_group_name_H-M 'F -4 3 m'
_symmetry_Int_Tables_number 216
_symmetry_space_group_name_Hall 'F -4 2 3'
_cell_length_a 7.5028
_cell_length_b 7.5028
_cell_length_c 7.5028
_cell_angle_alpha 90.00
_cell_angle_beta 90.00
_cell_angle_gamma 90.00
loop_
_atom_site_label
_atom_site_fract_x
_atom_site_fract_y
_atom_site_fract_z
Ta1 0.1238 0.1238 0.1238
Re1 0.2500 0.2500 0.7500
Ni1 0.0000 0.0000 0.5000
```

Properties
Calculated formation energy: 0.559 eV per atom
Mass density: 15.23 g/cm³


Entry 4:
## TaRe2Ni (PBE-GGA)

Data for crystalline TaRe2Ni at its relaxed geometry.

CIF file:
```
data_TaRe2Ni
_symmetry_space_group_name_H-M 'P 4/m m m'
_symmetry_Int_Tables_number 123
_symmetry_space_group_name_Hall '-P 4 2'
_cell_length_a 2.6724
_cell_length_b 2.6724
_cell_length_c 8.2941
_cell_angle_alpha 90.00
_cell_angle_beta 90.00
_cell_angle_gamma 90.00
loop_
_atom_site_label
_atom_site_fract_x
_atom_site_fract_y
_atom_site_fract_z
Ta1 0.0000 0.0000 0.0000
Re1 0.5000 0.5000 0.2773
Ni1 0.0000 0.0000 0.5000
```

Properties
Calculated formation energy: 0.091 eV per atom
Mass density: 17.16 g/cm³


Entry 5:
## TaRe2Ni (PBE-GGA)

Data for crystalline TaRe2Ni at its relaxed geometry.

CIF file:
```
data_TaRe2Ni
_symmetry_space_group_name_H-M 'I -4 2 d'
_symmetry_Int_Tables_number 122
_symmetry_space_group_name_Hall 'I -4 2bw'
_cell_length_a 3.7058
_cell_length_b 3.7058
_cell_length_c 18.8205
_cell_angle_alpha 90.00
_cell_angle_beta 90.00
_cell_angle_gamma 90.00
loop_
_atom_site_label
_atom_site_fract_x
_atom_site_fract_y
_atom_site_fract_z
Ta1 0.0000 0.0000 0.0000
Re1 0.2190 0.2500 0.6250
Ni1 0.0000 0.0000 0.5000
```

Properties
Calculated formation energy: 0.569 eV per atom
Mass density: 15.73 g/cm³


Entry 6:
## Ta2ReNi (PBE-GGA)

Data for crystalline Ta2ReNi at its relaxed geometry.

CIF file:
```
data_Ta2ReNi
_symmetry_space_group_name_H-M 'P 4/m m m'
_symmetry_Int_Tables_number 123
_symmetry_space_group_name_Hall '-P 4 2'
_cell_length_a 2.7472
_cell_length_b 2.7472
_cell_length_c 8.2569
_cell_angle_alpha 90.00
_cell_angle_beta 90.00
_cell_angle_gamma 90.00
loop_
_atom_site_label
_atom_site_fract_x
_atom_site_fract_y
_atom_site_fract_z
Ta1 0.0000 0.0000 0.2308
Re1 0.5000 0.5000 0.5000
Ni1 0.5000 0.5000 0.0000
```

Properties
Calculated formation energy: -0.021 eV per atom
Mass density: 16.17 g/cm³


Entry 7:
## Ta2ReNi2 (PBE-GGA)

Data for crystalline Ta2ReNi2 at its relaxed geometry.

CIF file:
```
data_Ta2ReNi2
_symmetry_space_group_name_H-M 'P 4/m b m'
_symmetry_Int_Tables_number 127
_symmetry_space_group_name_Hall '-P 4 2ab'
_cell_length_a 6.7775
_cell_length_b 6.7775
_cell_length_c 3.1678
_cell_angle_alpha 90.00
_cell_angle_beta 90.00
_cell_angle_gamma 90.00
loop_
_atom_site_label
_atom_site_fract_x
_atom_site_fract_y
_atom_site_fract_z
Ta1 0.1801 0.3199 0.0000
Re1 0.0000 0.0000 0.5000
Ni1 0.1210 0.6210 0.5000
```

Properties
Calculated formation energy: -0.150 eV per atom
Mass density: 15.19 g/cm³


Entry 8:
## TaReNi2 (PBE-GGA)

Data for crystalline TaReNi2 at its relaxed geometry.

CIF file:
```
data_TaReNi2
_symmetry_space_group_name_H-M 'P 4 m m'
_symmetry_Int_Tables_number 99
_cell_length_a 3.1652
_cell_length_b 3.1652
_cell_length_c 5.4942
_cell_angle_alpha 90.00
_cell_angle_beta 90.00
_cell_angle_gamma 90.00
loop_
_symmetry_equiv_pos_as_xyz
'x,y,z'
'-y,x,z'
'-x,-y,z'
'y,-x,z'
'-x,y,z'
'y,x,z'
'x,-y,z'
'-y,-x,z'
loop_
_atom_site_label
_atom_site_fract_x
_atom_site_fract_y
_atom_site_fract_z
Ta1 0.0000 0.0000 0.0000
Re1 0.5000 0.5000 0.7098
Ni1 0.0000 0.0000 0.4785
Ni2 0.5000 0.5000 0.2478
```

Properties
Calculated formation energy: -0.105 eV per atom
Mass density: 14.62 g/cm³


Entry 9:
## TaReNi2 (PBE-GGA)

Data for crystalline TaReNi2 at its relaxed geometry.

CIF file:
```
data_TaReNi2
_symmetry_space_group_name_H-M 'P 1 2/m 1'
_symmetry_Int_Tables_number 10
_cell_length_a 2.6922
_cell_length_b 3.7639
_cell_length_c 5.3762
_cell_angle_alpha 90.00
_cell_angle_beta 90.30
_cell_angle_gamma 90.00
loop_
_symmetry_equiv_pos_as_xyz
'x,y,z'
'-x,-y,-z'
'-x,y,-z'
'x,-y,z'
loop_
_atom_site_label
_atom_site_fract_x
_atom_site_fract_y
_atom_site_fract_z
Ta1 0.0000 0.0000 0.0000
Re1 0.0000 0.0000 0.5000
Ni1 0.4995 0.5000 0.2627
```

Properties
Calculated formation energy: -0.096 eV per atom
Mass density: 14.77 g/cm³


Entry 10:
## TaTiReNi (PBE-GGA)

Data for crystalline TaTiReNi at its relaxed geometry.

CIF file:
```
data_TaTiReNi
_symmetry_space_group_name_H-M 'F -4 3 m'
_symmetry_Int_Tables_number 216
_symmetry_space_group_name_Hall 'F -4 2 3'
_cell_length_a 6.2329
_cell_length_b 6.2329
_cell_length_c 6.2329
_cell_angle_alpha 90.00
_cell_angle_beta 90.00
_cell_angle_gamma 90.00
loop_
_atom_site_label
_atom_site_fract_x
_atom_site_fract_y
_atom_site_fract_z
Ta1 0.0000 0.0000 0.0000
Ti1 0.0000 0.0000 0.5000
Re1 0.2500 0.2500 0.2500
Ni1 0.2500 0.2500 0.7500
```

Properties
Calculated formation energy: -0.330 eV per atom
Mass density: 12.99 g/cm³


Entry 11:
## TaVReNi (PBE-GGA)

Data for crystalline TaVReNi at its relaxed geometry.

CIF file:
```
data_TaVReNi
_symmetry_space_group_name_H-M 'F -4 3 m'
_symmetry_Int_Tables_number 216
_symmetry_space_group_name_Hall 'F -4 2 3'
_cell_length_a 6.1571
_cell_length_b 6.1571
_cell_length_c 6.1571
_cell_angle_alpha 90.00
_cell_angle_beta 90.00
_cell_angle_gamma 90.00
loop_
_atom_site_label
_atom_site_fract_x
_atom_site_fract_y
_atom_site_fract_z
Ta1 0.0000 0.0000 0.0000
V1 0.0000 0.0000 0.5000
Re1 0.2500 0.2500 0.2500
Ni1 0.2500 0.2500 0.7500
```

Properties
Calculated formation energy: -0.150 eV per atom
Mass density: 13.57 g/cm³


Entry 12:
## Ta2ZnReNi (PBE-GGA)

Data for crystalline Ta2ZnReNi at its relaxed geometry.

CIF file:
```
data_Ta2ZnReNi
_symmetry_space_group_name_H-M 'P 4/m m m'
_symmetry_Int_Tables_number 123
_symmetry_space_group_name_Hall '-P 4 2'
_cell_length_a 4.6495
_cell_length_b 4.6495
_cell_length_c 4.0675
_cell_angle_alpha 90.00
_cell_angle_beta 90.00
_cell_angle_gamma 90.00
loop_
_atom_site_label
_atom_site_fract_x
_atom_site_fract_y
_atom_site_fract_z
Ta1 0.0000 0.5000 0.0000
Zn1 0.0000 0.0000 0.0000
Re1 0.5000 0.5000 0.5000
Ni1 0.0000 0.0000 0.5000
```

Properties
Calculated formation energy: 1.321 eV per atom
Mass density: 12.69 g/cm³


Entry 13:
## Tb2ReNi (PBE-GGA)

Data for crystalline Tb2ReNi at its relaxed geometry.

CIF file:
```
data_Tb2ReNi
_symmetry_space_group_name_H-M 'R -3 m'
_symmetry_Int_Tables_number 166
_symmetry_space_group_name_Hall '-R 3 2"'
_cell_length_a 3.0432
_cell_length_b 3.0432
_cell_length_c 30.2256
_cell_angle_alpha 90.00
_cell_angle_beta 90.00
_cell_angle_gamma 120.00
loop_
_atom_site_label
_atom_site_fract_x
_atom_site_fract_y
_atom_site_fract_z
Tb1 0.0000 0.0000 0.0930
Re1 0.0000 0.0000 0.0000
Ni1 0.0000 0.0000 0.5000
```

Properties
Calculated formation energy: 0.744 eV per atom
Mass density: 11.56 g/cm³


Entry 14:
## ReTcNi2 (PBE-GGA)

Data for crystalline ReTcNi2 at its relaxed geometry.

CIF file:
```
data_ReTcNi2
_symmetry_space_group_name_H-M 'I 4/m m m'
_symmetry_Int_Tables_number 139
_symmetry_space_group_name_Hall '-I 4 2'
_cell_length_a 3.6627
_cell_length_b 3.6627
_cell_length_c 7.6443
_cell_angle_alpha 90.00
_cell_angle_beta 90.00
_cell_angle_gamma 90.00
loop_
_atom_site_label
_atom_site_fract_x
_atom_site_fract_y
_atom_site_fract_z
Re1 0.0000 0.0000 0.0000
Tc1 0.0000 0.0000 0.5000
Ni1 0.0000 0.5000 0.2500
```

Properties
Calculated formation energy: 0.057 eV per atom
Mass density: 13.01 g/cm³


Entry 15:
## ReTcNi (PBE-GGA)

Data for crystalline ReTcNi at its relaxed geometry.

CIF file:
```
data_ReTcNi
_symmetry_space_group_name_H-M 'C m c m'
_symmetry_Int_Tables_number 63
_symmetry_space_group_name_Hall '-C 2c 2'
_cell_length_a 4.3959
_cell_length_b 8.6078
_cell_length_c 4.3634
_cell_angle_alpha 90.00
_cell_angle_beta 90.00
_cell_angle_gamma 90.00
loop_
_atom_site_label
_atom_site_fract_x
_atom_site_fract_y
_atom_site_fract_z
Re1 0.0000 0.0912 0.2500
Tc1 0.0000 0.2488 0.7500
Ni1 0.0000 0.4280 0.2500
```

Properties
Calculated formation energy: 0.089 eV per atom
Mass density: 13.79 g/cm³


Entry 16:
## ReTcNi2 (PBE-GGA)

Data for crystalline ReTcNi2 at its relaxed geometry.

CIF file:
```
data_ReTcNi2
_symmetry_space_group_name_H-M 'P 1 21/m 1'
_symmetry_Int_Tables_number 11
_cell_length_a 5.0532
_cell_length_b 4.0783
_cell_length_c 5.1310
_cell_angle_alpha 90.00
_cell_angle_beta 105.58
_cell_angle_gamma 90.00
loop_
_symmetry_equiv_pos_as_xyz
'x,y,z'
'-x,-y,-z'
'-x,y+1/2,-z'
'x,-y+1/2,z'
loop_
_atom_site_label
_atom_site_fract_x
_atom_site_fract_y
_atom_site_fract_z
Re1 0.1539 0.2500 0.1567
Tc1 0.1514 0.2500 0.6566
Ni1 0.3730 0.7500 0.4663
Ni2 0.3725 0.7500 0.9684
```

Properties
Calculated formation energy: -0.023 eV per atom
Mass density: 13.09 g/cm³


Entry 17:
## Re2TcNi (PBE-GGA)

Data for crystalline Re2TcNi at its relaxed geometry.

CIF file:
```
data_Re2TcNi
_symmetry_space_group_name_H-M 'C m m m'
_symmetry_Int_Tables_number 65
_symmetry_space_group_name_Hall '-C 2 2'
_cell_length_a 5.3754
_cell_length_b 7.6564
_cell_length_c 2.7224
_cell_angle_alpha 90.00
_cell_angle_beta 90.00
_cell_angle_gamma 90.00
loop_
_atom_site_label
_atom_site_fract_x
_atom_site_fract_y
_atom_site_fract_z
Re1 0.2500 0.2500 0.0000
Tc1 0.0000 0.0000 0.5000
Ni1 0.0000 0.5000 0.5000
```

Properties
Calculated formation energy: 0.089 eV per atom
Mass density: 15.68 g/cm³


Entry 18:
## ReTc2Ni (PBE-GGA)

Data for crystalline ReTc2Ni at its relaxed geometry.

CIF file:
```
data_ReTc2Ni
_symmetry_space_group_name_H-M 'P -1'
_symmetry_Int_Tables_number 2
_cell_length_a 2.6975
_cell_length_b 4.6831
_cell_length_c 4.6901
_cell_angle_alpha 110.39
_cell_angle_beta 90.08
_cell_angle_gamma 90.06
loop_
_symmetry_equiv_pos_as_xyz
'x,y,z'
'-x,-y,-z'
loop_
_atom_site_label
_atom_site_fract_x
_atom_site_fract_y
_atom_site_fract_z
Re1 0.0000 0.0000 0.0000
Tc1 0.0000 0.5000 0.5000
Tc2 0.5000 0.0000 0.5000
Ni1 0.5000 0.5000 0.0000
```

Properties
Calculated formation energy: 0.083 eV per atom
Mass density: 13.18 g/cm³


Entry 19:
## Re2TcNi (PBE-GGA)

Data for crystalline Re2TcNi at its relaxed geometry.

CIF file:
```
data_Re2TcNi
_symmetry_space_group_name_H-M 'I -4 2 d'
_symmetry_Int_Tables_number 122
_symmetry_space_group_name_Hall 'I -4 2bw'
_cell_length_a 6.8586
_cell_length_b 6.8586
_cell_length_c 5.2343
_cell_angle_alpha 90.00
_cell_angle_beta 90.00
_cell_angle_gamma 90.00
loop_
_atom_site_label
_atom_site_fract_x
_atom_site_fract_y
_atom_site_fract_z
Re1 0.2424 0.2500 0.1250
Tc1 0.0000 0.0000 0.0000
Ni1 0.0000 0.0000 0.5000
```

Properties
Calculated formation energy: 0.832 eV per atom
Mass density: 14.27 g/cm³


Entry 20:
## ReTc2Ni (PBE-GGA)

Data for crystalline ReTc2Ni at its relaxed geometry.

CIF file:
```
data_ReTc2Ni
_symmetry_space_group_name_H-M 'P m m m'
_symmetry_Int_Tables_number 47
_cell_length_a 2.7001
_cell_length_b 3.8490
_cell_length_c 5.3431
_cell_angle_alpha 90.00
_cell_angle_beta 90.00
_cell_angle_gamma 90.00
loop_
_symmetry_equiv_pos_as_xyz
'x,y,z'
'-x,-y,-z'
'-x,-y,z'
'x,y,-z'
'x,-y,-z'
'-x,y,z'
'-x,y,-z'
'x,-y,z'
loop_
_atom_site_label
_atom_site_fract_x
_atom_site_fract_y
_atom_site_fract_z
Re1 0.0000 0.0000 0.0000
Tc1 0.5000 0.5000 0.2598
Ni1 0.0000 0.0000 0.5000
```

Properties
Calculated formation energy: 0.054 eV per atom
Mass density: 13.18 g/cm³


| no. | total DFT energy (no corrections) (eV/atom) | D(E_F) (states/eV per cell) |
| --- | --- | --- |
| 1 | -9.0990 | 9.06 |
| 2 | -10.4328 | 24.07 |
| 3 | -10.3813 | 20.70 |
| 4 | -10.5418 | 3.00 |
| 5 | -10.0633 | 14.64 |
| 6 | -10.5045 | 2.76 |
| 7 | -9.6929 | 9.72 |
| 8 | -9.0712 | 3.83 |
| 9 | -9.0615 | 3.46 |
| 10 | -9.8245 | 15.53 |
| 11 | -9.9503 | 18.81 |
| 12 | -7.3209 | 3.76 |
| 13 | -6.1285 | 16.81 |
| 14 | -8.5373 | 11.86 |
| 15 | -9.4425 | 8.68 |
| 16 | -8.6173 | 4.66 |
| 17 | -10.1716 | 7.98 |
| 18 | -9.6570 | 4.33 |
| 19 | -9.4293 | 15.78 |
| 20 | -9.6867 | 3.94 |